Sc2Mn2Os | the Alexandria database | PBE-GGA | optimized geometry; ΔE_f = 807 meV per atom; V = 16.515 A^3/atom; DOS at the Fermi energy = 6.2 states/eV per cell
1.0
1.431 0.321 6.109
-3.738 1.268 4.888
0.609 -3.423 -5.233
Sc Os Mn
2 1 2
Direct
0.250 0.750 0.500
0.750 0.250 0.500
0.000 0.000 0.000
0.587 0.587 0.000
0.413 0.413 0.000